1.
First-principles (GGA-PBE) data for a geometry-optimized Sn2Pb5Au2 structure, as listed in the Alexandria database.

a = 6.285 Å, b = 10.686 Å, c = 9.881 Å
α = 122.60°, β = 108.38°, γ = 90.29°
Element x y z (fractional)
1 Sn 0.464 0.838 0.795
2 Sn 0.669 0.162 0.205
3 Sn 0.965 0.457 0.795
4 Sn 0.169 0.543 0.205
5 Pb 0.429 0.754 0.137
6 Pb 0.293 0.246 0.864
7 Pb 0.929 0.882 0.136
8 Pb 0.792 0.117 0.863
9 Pb 0.907 0.709 0.707
10 Pb 0.199 0.291 0.292
11 Pb 0.407 0.499 0.708
12 Pb 0.699 0.501 0.292
13 Pb 0.001 0.889 0.500
14 Pb 0.501 0.111 0.500
15 Au 0.206 0.000 0.000
16 Au 0.706 0.500 0.000
17 Au 0.497 0.820 0.500
18 Au 0.995 0.180 0.500

Summary:
- Energy: -66.3 eV per cell
- Energy of formation from the pure elements: -0.003 eV/atom


2.
First-principles (GGA-PBE) data for a geometry-optimized Sn3Pb12Au structure, as listed in the Alexandria database.

a = 3.609 Å, b = 5.924 Å, c = 22.540 Å
α = 90.00°, β = 90.00°, γ = 90.00°
Element x y z (fractional)
1 Sn 0.000 0.000 0.237
2 Sn 0.000 0.000 0.500
3 Sn 0.000 0.000 0.763
4 Pb 0.500 0.500 0.000
5 Pb 0.500 0.500 0.253
6 Pb 0.500 0.500 0.500
7 Pb 0.500 0.500 0.747
8 Pb 0.500 0.000 0.106
9 Pb 0.500 0.000 0.367
10 Pb 0.500 0.000 0.633
11 Pb 0.500 0.000 0.894
12 Pb 0.000 0.500 0.127
13 Pb 0.000 0.500 0.377
14 Pb 0.000 0.500 0.623
15 Pb 0.000 0.500 0.873
16 Au 0.000 0.000 0.000

Summary:
- Energy: -59.2 eV per cell
- Energy of formation from the pure elements: 0.037 eV/atom


3.
First-principles (GGA-PBE) data for a geometry-optimized Sn2PbAu structure, as listed in the Alexandria database.

a = 4.646 Å, b = 4.716 Å, c = 4.716 Å
α = 90.00°, β = 90.00°, γ = 90.00°
Element x y z (fractional)
1 Pb 0.500 0.500 0.500
2 Au 0.500 0.000 0.000
3 Sn 0.000 0.000 0.500
4 Sn 0.000 0.500 0.000

Summary:
- Energy: -14.8 eV per cell
- Energy of formation from the pure elements: 0.038 eV/atom


4.
First-principles (GGA-PBE) data for a geometry-optimized Sn2PbAu6 structure, as listed in the Alexandria database.

a = 5.238 Å, b = 9.311 Å, c = 9.311 Å
α = 122.37°, β = 88.20°, γ = 88.20°
Element x y z (fractional)
1 Sn 0.501 0.665 0.835
2 Sn 0.999 0.165 0.335
3 Sn 0.499 0.335 0.165
4 Sn 0.001 0.835 0.665
5 Pb 0.250 0.250 0.750
6 Pb 0.750 0.750 0.250
7 Au 0.499 0.665 0.504
8 Au 0.001 0.496 0.335
9 Au 0.501 0.335 0.496
10 Au 0.999 0.504 0.665
11 Au 0.247 0.915 0.414
12 Au 0.253 0.586 0.085
13 Au 0.753 0.085 0.586
14 Au 0.747 0.414 0.915
15 Au 0.002 0.835 0.995
16 Au 0.498 0.005 0.165
17 Au 0.998 0.165 0.005
18 Au 0.502 0.995 0.835

Summary:
- Energy: -63.7 eV per cell
- Energy of formation from the pure elements: -0.052 eV/atom


5.
First-principles (GGA-PBE) data for a geometry-optimized Sn2PbAu structure, as listed in the Alexandria database.

a = 4.401 Å, b = 4.401 Å, c = 11.516 Å
α = 78.98°, β = 78.98°, γ = 90.00°
Element x y z (fractional)
1 Pb 0.000 0.000 0.000
2 Pb 0.750 0.250 0.500
3 Au 0.500 0.500 0.000
4 Au 0.250 0.750 0.500
5 Sn 0.606 0.125 0.250
6 Sn 0.144 0.625 0.250
7 Sn 0.375 0.394 0.750
8 Sn 0.875 0.856 0.750

Summary:
- Energy: -29.6 eV per cell
- Energy of formation from the pure elements: 0.043 eV/atom


6.
First-principles (GGA-PBE) data for a geometry-optimized SnPbAu4 structure, as listed in the Alexandria database.

a = 5.378 Å, b = 5.377 Å, c = 9.614 Å
α = 105.68°, β = 106.24°, γ = 90.00°
Element x y z (fractional)
1 Sn 0.500 0.000 0.500
2 Sn 0.000 0.500 0.500
3 Pb 0.750 0.750 0.000
4 Pb 0.250 0.250 0.000
5 Au 0.662 0.163 0.823
6 Au 0.838 0.337 0.177
7 Au 0.338 0.837 0.177
8 Au 0.162 0.663 0.823
9 Au 0.081 0.082 0.663
10 Au 0.418 0.418 0.337
11 Au 0.919 0.918 0.337
12 Au 0.582 0.582 0.663

Summary:
- Relative energy among the computed polymorphs: 3 meV per atom
- Energy: -42.2 eV per cell
- Energy of formation from the pure elements: -0.044 eV/atom